<P>
This record from the Alexandria database describes a relaxed Cs2TaTl crystal. The functional is GGA-PBE.

Unit cell a=6.361 b=6.361 c=6.361 alpha=60.00 beta=60.00 gamma=60.00
Atoms (fractional coordinates):
Cs  0.250  0.250  0.250
Cs  0.750  0.750  0.750
Ta  0.000  0.000  0.000
Tl  0.500  0.500  0.500


<Q>
This record from the Alexandria database describes a relaxed Cs2TaTl crystal. The functional is GGA-PBE.

Unit cell a=13.773 b=13.773 c=13.773 alpha=160.54 beta=160.54 gamma=27.65
Atoms (fractional coordinates):
Cs  0.123  0.625  0.998
Cs  0.375  0.373  0.498
Cs  0.627  0.125  0.002
Cs  0.875  0.877  0.502
Ta  0.000  0.000  0.000
Ta  0.750  0.250  0.500
Tl  0.250  0.750  0.500
Tl  0.500  0.500  0.000


<Q> comes first in stability; the runner-up is 0.094 eV/atom higher.


<P>
This record from the Alexandria database describes a relaxed CsTa2V crystal. The functional is GGA-PBE.

Unit cell a=4.828 b=4.828 c=4.828 alpha=60.00 beta=60.00 gamma=60.00
Atoms (fractional coordinates):
Cs  0.000  0.000  0.000
Ta  0.250  0.250  0.250
Ta  0.750  0.750  0.750
V  0.500  0.500  0.500


<Q>
This record from the Alexandria database describes a relaxed CsTa2V crystal. The functional is GGA-PBE.

Unit cell a=10.303 b=10.303 c=10.303 alpha=153.59 beta=153.59 gamma=37.69
Atoms (fractional coordinates):
Cs  0.000  0.000  0.000
Cs  0.750  0.250  0.500
Ta  0.254  0.625  0.129
Ta  0.375  0.504  0.629
Ta  0.496  0.125  0.871
Ta  0.875  0.746  0.371
V  0.250  0.750  0.500
V  0.500  0.500  0.000


<P> comes first in stability; the runner-up is 0.187 eV/atom higher.


<P>
This record from the Alexandria database describes a relaxed CsTa2W crystal. The functional is GGA-PBE.

Unit cell a=4.870 b=4.870 c=4.870 alpha=60.00 beta=60.00 gamma=60.00
Atoms (fractional coordinates):
Cs  0.000  0.000  0.000
Ta  0.250  0.250  0.250
Ta  0.750  0.750  0.750
W  0.500  0.500  0.500


<Q>
This record from the Alexandria database describes a relaxed CsTa2W crystal. The functional is GGA-PBE.

Unit cell a=9.339 b=9.339 c=9.339 alpha=145.86 beta=145.86 gamma=49.05
Atoms (fractional coordinates):
Cs  0.000  0.000  0.000
Cs  0.750  0.250  0.500
Ta  0.303  0.625  0.178
Ta  0.375  0.553  0.678
Ta  0.447  0.125  0.822
Ta  0.875  0.697  0.322
W  0.250  0.750  0.500
W  0.500  0.500  0.000


<P> comes first in stability; the runner-up is 0.318 eV/atom higher.


<P>
This record from the Alexandria database describes a relaxed CsZrTa3 crystal. The functional is GGA-PBE.

Unit cell a=5.017 b=5.017 c=5.017 alpha=90.00 beta=90.00 gamma=90.00
Atoms (fractional coordinates):
Cs  0.000  0.000  0.000
Zr  0.500  0.500  0.500
Ta  0.000  0.000  0.500
Ta  0.000  0.500  0.000
Ta  0.500  0.000  0.000


<Q>
This record from the Alexandria database describes a relaxed CsZrTa3 crystal. The functional is GGA-PBE.

Unit cell a=5.193 b=5.193 c=5.193 alpha=90.00 beta=90.00 gamma=90.00
Atoms (fractional coordinates):
Cs  0.000  0.000  0.000
Zr  0.500  0.500  0.500
Ta  0.000  0.500  0.500
Ta  0.500  0.000  0.500
Ta  0.500  0.500  0.000


<Q> comes first in stability; the runner-up is 0.689 eV/atom higher.